(1)
The following is a DFT calculation (PBE) of a relaxed SrNb2Sn2 crystal.

Lattice parameters (Å, degrees): 8.752 8.752 3.077 90.00 90.00 90.00
Fractional coordinates of all 10 atoms:
Sr (0.000, 0.000, 0.000)
Sr (0.500, 0.500, 0.000)
Nb (0.110, 0.390, 0.500)
Nb (0.390, 0.890, 0.500)
Nb (0.610, 0.110, 0.500)
Nb (0.890, 0.610, 0.500)
Sn (0.177, 0.677, 0.000)
Sn (0.323, 0.177, 0.000)
Sn (0.677, 0.823, 0.000)
Sn (0.823, 0.323, 0.000)

Properties
Relative energy among the computed polymorphs = 0.000 eV per formula unit
ΔE_f = -0.0206 eV/atom
Space group = P4/mbm (127)

***

(2)
The following is a DFT calculation (PBE) of a relaxed CaHg2Br crystal.

Lattice parameters (Å, degrees): 4.323 4.323 12.050 90.00 90.00 90.00
Fractional coordinates of all 8 atoms:
Ca (0.000, 0.000, 0.000)
Ca (0.500, 0.500, 0.500)
Hg (0.000, 0.500, 0.250)
Hg (0.000, 0.500, 0.750)
Hg (0.500, 0.000, 0.250)
Hg (0.500, 0.000, 0.750)
Br (0.000, 0.000, 0.500)
Br (0.500, 0.500, 0.000)

Properties
Relative energy among the computed polymorphs = 0.129 eV per formula unit
Space group = I4/mmm (139)
Energy relative to the elements, uncorrected = -0.714 eV per atom

***

(3)
The following is a DFT calculation (PBE) of a relaxed CsP2Rh crystal.

Lattice parameters (Å, degrees): 6.884 6.884 6.884 90.00 90.00 90.00
Fractional coordinates of all 16 atoms:
Cs (0.000, 0.000, 0.000)
Cs (0.000, 0.500, 0.500)
Cs (0.500, 0.000, 0.500)
Cs (0.500, 0.500, 0.000)
P (0.250, 0.250, 0.250)
P (0.250, 0.250, 0.750)
P (0.250, 0.750, 0.250)
P (0.250, 0.750, 0.750)
P (0.750, 0.250, 0.250)
P (0.750, 0.250, 0.750)
P (0.750, 0.750, 0.250)
P (0.750, 0.750, 0.750)
Rh (0.000, 0.000, 0.500)
Rh (0.000, 0.500, 0.000)
Rh (0.500, 0.000, 0.000)
Rh (0.500, 0.500, 0.500)

Properties
Relative energy among the computed polymorphs = 4.430 eV per formula unit
ΔE_f = 0.9062 eV/atom
Space group = Fm-3m (225)

***

(4)
The following is a DFT calculation (PBE) of a relaxed VP2RhS crystal.

Lattice parameters (Å, degrees): 4.489 4.489 4.388 90.00 90.00 90.00
Fractional coordinates of all 5 atoms:
V (0.000, 0.000, 0.000)
P (0.000, 0.500, 0.000)
P (0.500, 0.000, 0.000)
Rh (0.500, 0.500, 0.500)
S (0.000, 0.000, 0.500)

Properties
Relative energy among the computed polymorphs = 0.000 eV per formula unit
Space group = P4/mmm (123)
Energy relative to the elements, uncorrected = 0.503 eV per atom

***

(5)
The following is a DFT calculation (PBE) of a relaxed Ac3In2Ni crystal.

Lattice parameters (Å, degrees): 8.467 8.467 7.454 102.29 102.29 48.05
Fractional coordinates of all 12 atoms:
Ac (0.099, 0.901, 0.750)
Ac (0.254, 0.459, 0.408)
Ac (0.459, 0.254, 0.908)
Ac (0.541, 0.746, 0.092)
Ac (0.746, 0.541, 0.592)
Ac (0.901, 0.099, 0.250)
In (0.052, 0.295, 0.039)
In (0.295, 0.052, 0.539)
In (0.705, 0.948, 0.461)
In (0.948, 0.705, 0.961)
Ni (0.338, 0.662, 0.250)
Ni (0.662, 0.338, 0.750)

Properties
Relative energy among the computed polymorphs = 0.015 eV per formula unit
ΔE_f = -0.2333 eV/atom
Space group = C2/c (15)

***

(6)
The following is a DFT calculation (PBE) of a relaxed Ca2TmTlO crystal.

Lattice parameters (Å, degrees): 4.822 4.822 4.783 90.00 90.00 90.00
Fractional coordinates of all 5 atoms:
Ca (0.000, 0.500, 0.000)
Ca (0.500, 0.000, 0.000)
Tm (0.000, 0.000, 0.500)
Tl (0.500, 0.500, 0.500)
O (0.000, 0.000, 0.000)

Properties
Space group = P4/mmm (123)
Energy relative to the elements, uncorrected = -1.378 eV per atom

***

(7)
The following is a DFT calculation (PBE) of a relaxed UTl2NiSe5 crystal.

Lattice parameters (Å, degrees): 9.522 9.522 13.751 90.00 90.00 155.47
Fractional coordinates of all 18 atoms:
U (0.201, 0.799, 0.500)
U (0.799, 0.201, 0.000)
Tl (0.102, 0.898, 0.138)
Tl (0.110, 0.890, 0.806)
Tl (0.890, 0.110, 0.306)
Tl (0.898, 0.102, 0.638)
Ni (0.420, 0.580, 0.911)
Ni (0.580, 0.420, 0.411)
Se (0.054, 0.946, 0.493)
Se (0.291, 0.709, 0.135)
Se (0.297, 0.703, 0.864)
Se (0.344, 0.656, 0.479)
Se (0.483, 0.517, 0.769)
Se (0.517, 0.483, 0.269)
Se (0.656, 0.344, 0.979)
Se (0.703, 0.297, 0.364)
Se (0.709, 0.291, 0.635)
Se (0.946, 0.054, 0.993)

Properties
Space group = Cmc2_1 (36)
Energy relative to the elements, uncorrected = -0.564 eV per atom

***

(8)
The following is a DFT calculation (PBE) of a relaxed MgW2Br crystal.

Lattice parameters (Å, degrees): 2.957 2.957 27.890 90.00 90.00 120.00
Fractional coordinates of all 12 atoms:
Mg (0.000, 0.000, 0.000)
Mg (0.333, 0.667, 0.667)
Mg (0.667, 0.333, 0.333)
W (0.000, 0.000, 0.246)
W (0.000, 0.000, 0.754)
W (0.333, 0.667, 0.421)
W (0.333, 0.667, 0.912)
W (0.667, 0.333, 0.088)
W (0.667, 0.333, 0.579)
Br (0.000, 0.000, 0.500)
Br (0.333, 0.667, 0.167)
Br (0.667, 0.333, 0.833)

Properties
Relative energy among the computed polymorphs = 2.434 eV per formula unit
Space group = R-3m (166)
Energy relative to the elements, uncorrected = 0.893 eV per atom

***

(9)
The following is a DFT calculation (PBE) of a relaxed Nd4TlSe2 crystal.

Lattice parameters (Å, degrees): 7.296 7.296 14.501 90.00 90.00 146.46
Fractional coordinates of all 14 atoms:
Nd (0.000, 0.000, 0.000)
Nd (0.000, 0.000, 0.500)
Nd (0.271, 0.729, 0.620)
Nd (0.271, 0.729, 0.880)
Nd (0.433, 0.567, 0.250)
Nd (0.567, 0.433, 0.750)
Nd (0.729, 0.271, 0.120)
Nd (0.729, 0.271, 0.380)
Tl (0.106, 0.894, 0.250)
Tl (0.894, 0.106, 0.750)
Se (0.364, 0.636, 0.060)
Se (0.364, 0.636, 0.440)
Se (0.636, 0.364, 0.560)
Se (0.636, 0.364, 0.940)

Properties
Space group = Cmcm (63)
Energy relative to the elements, uncorrected = -1.166 eV per atom

***

(10)
The following is a DFT calculation (PBE) of a relaxed Ho13In3 crystal.

Lattice parameters (Å, degrees): 7.061 8.187 8.187 85.31 90.00 90.00
Fractional coordinates of all 16 atoms:
Ho (0.000, 0.000, 0.000)
Ho (0.000, 0.406, 0.903)
Ho (0.000, 0.473, 0.473)
Ho (0.000, 0.903, 0.406)
Ho (0.254, 0.725, 0.725)
Ho (0.255, 0.142, 0.658)
Ho (0.255, 0.658, 0.142)
Ho (0.500, 0.379, 0.912)
Ho (0.500, 0.469, 0.469)
Ho (0.500, 0.912, 0.379)
Ho (0.745, 0.142, 0.658)
Ho (0.745, 0.658, 0.142)
Ho (0.746, 0.725, 0.725)
In (0.238, 0.237, 0.237)
In (0.500, 0.968, 0.968)
In (0.762, 0.237, 0.237)

Properties
ΔE_f = -0.1347 eV/atom
Space group = Amm2 (38)

***

(11)
The following is a DFT calculation (PBE) of a relaxed AcLuAl2 crystal.

Lattice parameters (Å, degrees): 3.703 3.703 28.710 90.00 90.00 120.00
Fractional coordinates of all 12 atoms:
Ac (0.000, 0.000, 0.000)
Ac (0.333, 0.667, 0.667)
Ac (0.667, 0.333, 0.333)
Lu (0.000, 0.000, 0.500)
Lu (0.333, 0.667, 0.167)
Lu (0.667, 0.333, 0.833)
Al (0.000, 0.000, 0.243)
Al (0.000, 0.000, 0.757)
Al (0.333, 0.667, 0.424)
Al (0.333, 0.667, 0.910)
Al (0.667, 0.333, 0.090)
Al (0.667, 0.333, 0.576)

Properties
ΔE_f = -0.0114 eV/atom
Space group = R-3m (166)

***

(12)
The following is a DFT calculation (PBE) of a relaxed Li4InSn crystal.

Lattice parameters (Å, degrees): 5.955 4.677 8.577 90.00 109.82 90.00
Fractional coordinates of all 12 atoms:
Li (0.038, 0.250, 0.083)
Li (0.199, 0.250, 0.417)
Li (0.282, 0.750, 0.584)
Li (0.456, 0.750, 0.917)
Li (0.544, 0.250, 0.083)
Li (0.718, 0.250, 0.416)
Li (0.801, 0.750, 0.583)
Li (0.962, 0.750, 0.917)
In (0.380, 0.750, 0.260)
In (0.620, 0.250, 0.740)
Sn (0.129, 0.250, 0.757)
Sn (0.871, 0.750, 0.243)

Properties
Relative energy among the computed polymorphs = 0.000 eV per formula unit
ΔE_f = -0.3306 eV/atom
Space group = P2_1/m (11)

***

Number 1: spin magnetization 0.01 μB/f.u., total energy -5.99 eV/atom. Number 2: spin magnetization 0.00 μB/f.u., total energy -1.78 eV/atom. Number 3: spin magnetization 0.00 μB/f.u., total energy -3.85 eV/atom. Number 4: spin magnetization 0.00 μB/f.u., total energy -5.78 eV/atom. Number 5: spin magnetization 0.00 μB/f.u., total energy -4.16 eV/atom. Number 6: spin magnetization 0.00 μB/f.u., total energy -4.54 eV/atom. Number 7: spin magnetization 0.84 μB/f.u., total energy -4.92 eV/atom. Number 8: spin magnetization 0.00 μB/f.u., total energy -6.40 eV/atom. Number 9: spin magnetization 0.00 μB/f.u., total energy -5.22 eV/atom. Number 10: spin magnetization 0.00 μB/f.u., total energy -4.37 eV/atom. Number 11: spin magnetization 0.00 μB/f.u., total energy -4.04 eV/atom. Number 12: spin magnetization 0.00 μB/f.u., total energy -2.73 eV/atom.